Here is a relaxed ThSc2In crystal from the Alexandria database. Energies are from PBE.

Summary:
Total DFT energy (no corrections) = -23.4 eV per formula unit
Size of the total moment = 0.00 μB per formula unit

Cell and atoms, written as POSCAR:
```
ThSc2In
1.0
1.727 -11.569 0.000
1.727 11.569 0.000
0.000 0.000 5.289
Th Sc In
2 4 2
Cartesian
1.727 9.253 3.967
1.727 -9.253 1.322
1.727 5.310 1.322
1.727 0.676 3.967
1.727 -0.676 1.322
1.727 -5.310 3.967
1.727 3.705 3.967
1.727 -3.705 1.322
```

=====

Here is a relaxed AgIrW2 crystal from the Alexandria database. Energies are from PBE.

Summary:
Total DFT energy (no corrections) = -36.6 eV per formula unit
Size of the total moment = 0.00 μB per formula unit

Cell and atoms, written as POSCAR:
```
AgIrW2
1.0
1.401 0.809 9.452
-1.401 0.809 9.452
0.000 -1.618 9.452
Ag Ir W
1 1 2
Cartesian
0.000 0.000 0.000
0.000 0.000 14.178
0.000 0.000 6.961
0.000 0.000 21.395
```

=====

Here is a relaxed TeS3N2 crystal from the Alexandria database. Energies are from PBE.

Summary:
Total DFT energy (no corrections) = -28.3 eV per formula unit
Size of the total moment = 0.00 μB per formula unit

Cell and atoms, written as POSCAR:
```
TeS3N2
1.0
9.147 0.000 0.000
0.000 7.910 0.000
0.000 0.000 8.190
Te S N
4 12 8
Cartesian
1.691 1.978 1.447
2.882 5.933 5.542
6.265 1.978 2.648
7.456 5.933 6.743
0.052 4.135 7.175
0.052 7.730 7.175
0.913 5.933 3.676
3.661 1.978 7.771
4.522 0.180 3.080
4.522 3.775 3.080
4.625 4.135 5.110
4.625 7.730 5.110
5.486 5.933 0.419
8.234 1.978 4.514
9.095 0.180 1.015
9.095 3.775 1.015
1.626 4.669 4.255
1.626 7.196 4.255
2.947 0.714 0.160
2.947 3.241 0.160
6.200 4.669 8.030
6.200 7.196 8.030
7.521 0.714 3.935
7.521 3.241 3.935
```

=====

Here is a relaxed SeBrN2Cl crystal from the Alexandria database. Energies are from PBE.

Summary:
Total DFT energy (no corrections) = -13.3 eV per formula unit
Size of the total moment = 0.84 μB per formula unit

Cell and atoms, written as POSCAR:
```
SeBrN2Cl
1.0
3.833 0.000 0.000
0.000 3.833 0.000
0.000 0.000 7.966
Se Br N Cl
1 1 2 1
Cartesian
0.000 0.000 0.000
0.000 0.000 3.983
0.000 1.916 3.983
1.916 0.000 3.983
1.916 1.916 0.000
```

=====

Here is a relaxed Np2US6 crystal from the Alexandria database. Energies are from PBE.

Summary:
Total DFT energy (no corrections) = -73.2 eV per formula unit
Size of the total moment = 8.00 μB per formula unit

Cell and atoms, written as POSCAR:
```
Np2US6
1.0
7.115 0.000 0.000
-3.558 6.162 0.000
0.000 0.000 4.243
Np U S
2 1 6
Cartesian
0.000 4.108 1.121
3.558 2.054 3.122
0.000 0.000 2.121
-1.923 4.341 3.203
0.760 2.326 3.203
2.394 0.505 1.040
1.163 5.657 3.203
2.798 3.836 1.040
5.481 1.821 1.040
```

=====

Here is a relaxed Ho3Co8Sn4 crystal from the Alexandria database. Energies are from PBE.

Summary:
Total DFT energy (no corrections) = -91.2 eV per formula unit
Size of the total moment = 7.20 μB per formula unit

Cell and atoms, written as POSCAR:
```
Ho3Co8Sn4
1.0
8.887 0.000 0.000
-4.443 7.696 0.000
0.000 0.000 7.421
Ho Co Sn
6 16 8
Cartesian
-1.820 4.080 0.000
1.820 4.080 0.000
0.000 7.233 0.000
4.443 0.463 3.711
2.623 3.616 3.711
6.264 3.616 3.711
0.000 0.000 1.646
0.000 0.000 5.357
0.000 1.509 7.248
-3.136 6.942 7.248
0.000 2.454 4.968
-2.318 6.469 4.968
1.307 0.755 3.537
2.125 1.227 1.257
0.000 5.131 2.093
4.443 2.565 5.804
2.318 6.469 4.968
3.136 6.942 7.248
6.762 1.227 1.257
4.443 5.242 1.257
7.580 0.755 3.537
4.443 6.187 3.537
0.000 2.644 2.207
-2.154 6.374 2.207
0.000 5.131 4.924
2.289 1.322 5.917
2.154 6.374 2.207
4.443 2.565 1.214
6.597 1.322 5.917
4.443 5.053 5.917
```